No. 1
The following is a PBE calculation of a relaxed Ac2Pr7Nd2 crystal, from Alexandria via LeMat-Bulk.

a = 8.452 Å, b = 8.452 Å, c = 6.304 Å
α = 104.80°, β = 104.80°, γ = 91.80°
Atoms (fractional coordinates):
Ac: 0.225 0.225 0.097
Ac: 0.775 0.775 0.903
Pr: 0.000 0.000 0.500
Pr: 0.054 0.593 0.331
Pr: 0.407 0.946 0.669
Pr: 0.421 0.421 0.699
Pr: 0.579 0.579 0.301
Pr: 0.593 0.054 0.331
Pr: 0.946 0.407 0.669
Nd: 0.229 0.771 0.000
Nd: 0.771 0.229 0.000

Output
DOS at the Fermi energy	16.91	states/eV/cell
mass density	6.9	g/cm3
E_tot	-4.515	eV/atom
magnetic moment	0.0	μB per cell
symmetry	C2/m
V	38.1	Å³ per atom

---

No. 2
The following is a PBE calculation of a relaxed DyY7Er2 crystal, from Alexandria via LeMat-Bulk.

a = 9.101 Å, b = 9.101 Å, c = 5.622 Å
α = 90.00°, β = 90.00°, γ = 122.11°
Atoms (fractional coordinates):
Dy: 0.000 0.000 0.000
Y: 0.062 0.293 0.500
Y: 0.220 0.780 0.000
Y: 0.293 0.062 0.500
Y: 0.500 0.500 0.500
Y: 0.707 0.938 0.500
Y: 0.780 0.220 0.000
Y: 0.938 0.707 0.500
Er: 0.296 0.704 0.500
Er: 0.704 0.296 0.500

Output
DOS at the Fermi energy	14.58	states/eV/cell
mass density	4.7	g/cm3
E_tot	-5.197	eV/atom
magnetic moment	0.0	μB per cell
symmetry	Cmmm
V	39.4	Å³ per atom